# AcAg2Hg

AcAg2Hg after structural relaxation (PBE, Alexandria via LeMat-Bulk).

Values from the calculation:
Final energy   -2.835 eV per atom
Space-group type   Amm2

Lattice parameters (Å, degrees): 4.776 5.979 7.766 90.00 90.00 113.54
Sites, in units of the cell vectors:
1 Hg 0.294 0.588 0.197
2 Ag 0.034 0.069 0.311
3 Ac 0.748 0.497 0.500
4 Ag 0.458 0.916 0.500
5 Hg 0.294 0.588 0.803
6 Ac 0.585 0.170 0.000
7 Ag 0.034 0.069 0.689
8 Ag 0.881 0.761 0.000